A geometry-optimized SmAl6Ni3 structure. Source: the Alexandria database, functional GGA-PBE.

Calculated values
E_form ... -458 kJ/mol of formula units
DOS at the Fermi energy ... 9.216 states/eV per cell
Total energy ... -98.526 eV for the cell shown

The structure in CIF format:
```
data_SmAl6Ni3
_space_group_name_H-M_alt 'P 1 21/m 1'
_space_group_IT_number 11
_cell_length_a 7.519
_cell_length_b 4.040
_cell_length_c 10.565
_cell_angle_alpha 90.00
_cell_angle_beta 99.91
_cell_angle_gamma 90.00
loop_
_space_group_symop_operation_xyz
'x,y,z'
'-x,-y,-z'
'-x,y+1/2,-z'
'x,-y+1/2,z'
loop_
_atom_site_label
_atom_site_fract_x
_atom_site_fract_y
_atom_site_fract_z
_atom_site_occupancy
Sm1 0.051 0.250 0.235 1
Al1 0.101 0.250 0.570 1
Al2 0.252 0.750 0.027 1
Al3 0.331 0.250 0.862 1
Al4 0.341 0.750 0.687 1
Al5 0.389 0.750 0.272 1
Al6 0.397 0.250 0.462 1
Ni1 0.082 0.250 0.970 1
Ni2 0.230 0.750 0.461 1
Ni3 0.447 0.250 0.113 1
```